DFT (PBE with a Hubbard U) results for a geometry-optimized Ta2FePb3O9 structure.

Cell: 5.749 5.749 7.088 Å, 90.00 90.00 120.00°
Fractional coordinates of all 15 atoms:
O 0.829 0.659 0.672
O 0.171 0.829 0.328
Pb 0.667 0.333 0.351
O 0.500 0.000 0.000
O 0.171 0.341 0.328
Pb 0.000 0.000 0.000
O 0.829 0.171 0.672
O 0.000 0.500 0.000
Pb 0.333 0.667 0.649
O 0.659 0.829 0.328
Ta 0.333 0.667 0.172
O 0.341 0.171 0.672
Fe 0.000 0.000 0.500
Ta 0.667 0.333 0.828
O 0.500 0.500 0.000

* magnetic moment: 4.0 μB/cell
* N(E_F): 3.46 states/eV/cell
* crystal system: trigonal
* energy: -114.04 eV per formula unit